# 1
A plane-wave DFT calculation with PBE was carried out for an optimized crystal structure of Tl5Hg3Cl12.

Unit cell a=15.7565 b=15.7565 c=15.7565 alpha=109.47 beta=109.47 gamma=109.47
Each line ends with the local moment (μB).
Fractional positions:
Cl 0.2745 0.3927 0.7954  0.02
Cl 0.0973 0.8927 0.1182  0.02
Cl 0.4792 0.7046 0.0973  0.02
Cl 0.5973 0.6182 0.3927  0.02
Cl 0.4027 0.3818 0.6073  0.02
Cl 0.4027 0.0208 0.2954  0.02
Cl 0.5208 0.2255 0.1182  0.02
Cl 0.4792 0.7745 0.8818  0.02
Cl 0.9027 0.7954 0.5208  0.02
Cl 0.7745 0.4792 0.3818  0.02
Cl 0.0208 0.4027 0.7954  0.02
Cl 0.7745 0.2954 0.8927  0.02
Cl 0.2255 0.5208 0.6182  0.02
Cl 0.1182 0.3927 0.0973  0.02
Cl 0.7954 0.9027 0.0208  0.02
Cl 0.2255 0.7046 0.1073  0.02
Cl 0.9027 0.1073 0.8818  0.02
Cl 0.2954 0.7745 0.3927  0.02
Cl 0.6073 0.7255 0.7046  0.02
Cl 0.2046 0.0973 0.9792  0.02
Cl 0.3818 0.9792 0.7745  0.02
Cl 0.9792 0.3818 0.2745  0.02
Cl 0.7954 0.8927 0.2745  0.02
Cl 0.2046 0.1073 0.7255  0.02
Cl 0.7046 0.2255 0.6073  0.02
Cl 0.1073 0.2046 0.2255  0.02
Cl 0.8927 0.7954 0.7745  0.02
Cl 0.5973 0.9792 0.7046  0.02
Cl 0.2954 0.5208 0.4027  0.02
Cl 0.6182 0.0208 0.2255  0.02
Cl 0.0208 0.6182 0.7255  0.02
Cl 0.1182 0.7255 0.5208  0.02
Cl 0.8818 0.6073 0.9027  0.02
Cl 0.7046 0.4792 0.5973  0.02
Cl 0.6182 0.5973 0.8927  0.02
Cl 0.7255 0.1182 0.0208  0.02
Cl 0.8927 0.0973 0.6182  0.02
Cl 0.0973 0.2046 0.4792  0.02
Cl 0.3927 0.1182 0.5973  0.02
Cl 0.3818 0.4027 0.1073  0.02
Cl 0.6073 0.8818 0.4027  0.02
Cl 0.8818 0.2745 0.4792  0.02
Cl 0.1073 0.9027 0.3818  0.02
Cl 0.3927 0.2745 0.2954  0.02
Cl 0.9792 0.5973 0.2046  0.02
Cl 0.7255 0.6073 0.2046  0.02
Cl 0.2745 0.8818 0.9792  0.02
Cl 0.5208 0.2954 0.9027  0.02
Hg 0.7500 0.8750 0.6250  0.13
Hg 0.1250 0.8750 0.7500  0.13
Hg 0.2500 0.1250 0.3750  0.13
Hg 0.8750 0.7500 0.1250  0.13
Hg 0.6250 0.3750 0.7500  0.13
Hg 0.7500 0.3750 0.1250  0.13
Hg 0.3750 0.7500 0.6250  0.13
Hg 0.3750 0.6250 0.2500  0.13
Hg 0.1250 0.2500 0.8750  0.13
Hg 0.6250 0.2500 0.3750  0.13
Hg 0.8750 0.1250 0.2500  0.13
Hg 0.2500 0.6250 0.8750  0.13
Tl 0.0000 0.5000 0.5000  0.00
Tl 0.2500 0.3750 0.6250  0.00
Tl 0.0000 0.0000 0.0000  0.00
Tl 0.3750 0.2500 0.1250  0.00
Tl 0.5000 0.0000 0.5000  0.00
Tl 0.8750 0.2500 0.6250  0.00
Tl 0.0000 0.0000 0.5000  0.00
Tl 0.0000 0.5000 0.0000  0.00
Tl 0.6250 0.8750 0.2500  0.00
Tl 0.1250 0.7500 0.3750  0.00
Tl 0.3750 0.1250 0.7500  0.00
Tl 0.5000 0.0000 0.0000  0.00
Tl 0.5000 0.5000 0.5000  0.00
Tl 0.1250 0.3750 0.2500  0.00
Tl 0.5000 0.5000 0.0000  0.00
Tl 0.2500 0.8750 0.1250  0.00
Tl 0.7500 0.6250 0.3750  0.00
Tl 0.7500 0.1250 0.8750  0.00
Tl 0.6250 0.7500 0.8750  0.00
Tl 0.8750 0.6250 0.7500  0.00

## Properties
Crystal system   cubic
E_form (uncorrected)   -0.587 eV per atom
Magnetization   0.0442 μB/atom

# 2
A plane-wave DFT calculation with PBE was carried out for an optimized crystal structure of PaTl2SiO8.

Unit cell a=5.7746 b=5.7746 c=5.6557 alpha=90.00 beta=90.00 gamma=120.00
Each line ends with the local moment (μB).
Fractional positions:
Pa 0.0000 0.0000 0.5000  -0.04
O 0.6667 0.3333 0.3909  0.40
O 0.1431 0.2862 0.1932  0.01
O 0.8569 0.1431 0.8068  0.01
O 0.1431 0.8569 0.1932  0.01
O 0.8569 0.7138 0.8068  0.01
O 0.7138 0.8569 0.1932  0.01
O 0.2862 0.1431 0.8068  0.01
O 0.3333 0.6667 0.6091  0.40
Tl 0.3333 0.6667 0.9715  -0.01
Tl 0.6667 0.3333 0.0285  -0.01
Si 0.0000 0.0000 0.0000  0.00

## Properties
Crystal system   trigonal
E_form (uncorrected)   -1.490 eV per atom
Magnetization   0.0834 μB/atom

# 3
A plane-wave DFT calculation with PBE was carried out for an optimized crystal structure of CsMnI3.

Unit cell a=5.8618 b=5.8618 c=5.8618 alpha=90.00 beta=90.00 gamma=90.00
Each line ends with the local moment (μB).
Fractional positions:
I 0.5000 0.0000 0.0000  0.06
I 0.0000 0.0000 0.5000  0.06
I 0.0000 0.5000 0.0000  0.06
Cs 0.5000 0.5000 0.5000  0.00
Mn 0.0000 0.0000 0.0000  4.38

## Properties
Crystal system   cubic
E_form (uncorrected)   -0.842 eV per atom
Magnetization   1.0000 μB/atom

# 4
A plane-wave DFT calculation with PBE was carried out for an optimized crystal structure of Zr2InSb.

Unit cell a=6.0276 b=6.0276 c=8.6461 alpha=69.60 beta=69.60 gamma=90.00
Fractional positions:
Zr 0.3750 0.3792 0.7500
Zr 0.8750 0.8708 0.7500
Zr 0.6208 0.1250 0.2500
Zr 0.1292 0.6250 0.2500
Sb 0.7500 0.2500 0.5000
Sb 0.0000 0.0000 0.0000
In 0.2500 0.7500 0.5000
In 0.5000 0.5000 0.0000

## Properties
Crystal system   tetragonal
E_form (uncorrected)   0.605 eV per atom
Magnetization   0.0000 μB/atom

# 5
A plane-wave DFT calculation with PBE was carried out for an optimized crystal structure of ThSbPtAu.

Unit cell a=5.0458 b=5.0458 c=5.0458 alpha=60.00 beta=60.00 gamma=60.00
Fractional positions:
Au 0.5000 0.5000 0.5000
Pt 0.0000 0.0000 0.0000
Sb 0.7500 0.7500 0.7500
Th 0.2500 0.2500 0.2500

## Properties
Crystal system   cubic
E_form (uncorrected)   -0.734 eV per atom
Magnetization   0.0000 μB/atom

# 6
A plane-wave DFT calculation with PBE was carried out for an optimized crystal structure of Zn2SbRh.

Unit cell a=4.0505 b=4.0595 c=4.0452 alpha=90.00 beta=90.00 gamma=90.00
Fractional positions:
Sb 0.0000 0.5000 0.5000
Rh 0.5000 0.0000 0.5000
Zn 0.5000 0.5000 0.0000
Zn 0.0000 0.0000 0.0000

## Properties
Crystal system   tetragonal
E_form (uncorrected)   -0.070 eV per atom
Magnetization   0.0000 μB/atom

Which value of E_form (uncorrected) does entry 1 give? -0.587 eV per atom

What is the formula in the second record? PaTl2SiO8

E_form (uncorrected) of number 2 (PaTl2SiO8)? -1.490 eV per atom

The highest magnetization belongs to which entry? CsMnI3